P) ! LiYMn2 (PBE, optimized geometry); values from VASP
! Symmetry: Cmmm (65)
&SYSTEM
  ibrav = 0, nat = 4, ntyp = 3
/
ATOMIC_SPECIES
Mn 54.94 Mn.upf
Y 88.91 Y.upf
Li 6.94 Li.upf
CELL_PARAMETERS angstrom
4.865 0.032 -0.010
-1.253 4.701 -0.010
0.003 0.004 3.357
ATOMIC_POSITIONS angstrom
Mn 1.806 2.367 -0.010
Y 2.434 0.018 1.674
Mn 0.000 0.000 0.000
Li -0.625 2.352 1.674

Q) ! LiYMn2 (PBE, optimized geometry); values from VASP
! Symmetry: Immm (71)
&SYSTEM
  ibrav = 0, nat = 4, ntyp = 3
/
ATOMIC_SPECIES
Li 6.94 Li.upf
Mn 54.94 Mn.upf
Y 88.91 Y.upf
CELL_PARAMETERS angstrom
5.422 -0.026 0.008
4.341 3.250 0.008
1.980 0.654 4.144
ATOMIC_POSITIONS angstrom
Li 8.808 2.908 3.120
Mn 2.122 0.701 4.069
Y 2.936 0.969 1.040
Mn 5.730 1.892 2.155

Q: Which of them is the most stable? A: Q).

P) ! Si2Se (PBE, optimized geometry); values from VASP
! Symmetry: P-3m1 (164)
&SYSTEM
  ibrav = 0, nat = 3, ntyp = 2
/
ATOMIC_SPECIES
Si 28.09 Si.upf
Se 78.96 Se.upf
CELL_PARAMETERS angstrom
-1.897 0.126 -4.334
2.377 -3.834 1.432
-2.239 -1.033 0.950
ATOMIC_POSITIONS angstrom
Si -0.161 -3.028 -0.018
Se 0.000 0.000 0.000
Si -1.598 -1.713 -1.935

Q) ! Si2Se (PBE, optimized geometry); values from VASP
! Symmetry: R-3m (166)
&SYSTEM
  ibrav = 0, nat = 3, ntyp = 2
/
ATOMIC_SPECIES
Se 78.96 Se.upf
Si 28.09 Si.upf
CELL_PARAMETERS angstrom
-4.357 0.804 -3.030
-5.338 0.401 0.399
-3.981 3.528 -0.723
ATOMIC_POSITIONS angstrom
Se 0.000 0.000 0.000
Si -2.882 0.997 -0.707
Si -10.794 3.736 -2.648

R) ! Si2Se (PBE, optimized geometry); values from VASP
! Symmetry: Cmcm (63)
&SYSTEM
  ibrav = 0, nat = 6, ntyp = 2
/
ATOMIC_SPECIES
Se 78.96 Se.upf
Si 28.09 Si.upf
CELL_PARAMETERS angstrom
1.727 -9.268 0.000
1.727 9.268 0.000
0.000 0.000 3.440
ATOMIC_POSITIONS angstrom
Se 1.727 -7.163 0.860
Si 1.727 0.959 2.580
Si 1.727 -0.959 0.860
Se 1.727 7.163 2.580
Si 1.727 -4.972 2.580
Si 1.727 4.972 0.860

Q: Which of them is the most stable? A: Q).

P) ! B2C (PBE, optimized geometry); values from VASP
! Symmetry: P1 (1)
&SYSTEM
  ibrav = 0, nat = 12, ntyp = 2
/
ATOMIC_SPECIES
B 10.81 B.upf
C 12.01 C.upf
CELL_PARAMETERS angstrom
5.496 0.408 -0.034
-3.119 -4.095 0.760
-1.874 0.843 -4.913
ATOMIC_POSITIONS angstrom
B 1.490 -1.206 -4.140
C 3.677 0.918 -3.401
C -1.234 -3.345 -1.379
B 0.712 -1.455 -0.589
B -1.239 -0.893 -3.112
B -0.185 -1.463 -4.377
B 2.500 -1.254 -0.538
C -4.774 -3.105 -4.002
C -0.157 -2.302 -1.613
B -1.881 -1.910 -1.830
B 1.566 0.118 -0.748
B 2.513 -0.432 -3.085

Q) ! B2C (PBE, optimized geometry); values from VASP
! Symmetry: Cm (8)
&SYSTEM
  ibrav = 0, nat = 12, ntyp = 2
/
ATOMIC_SPECIES
C 12.01 C.upf
B 10.81 B.upf
CELL_PARAMETERS angstrom
1.275 4.159 0.630
-1.275 4.159 0.630
0.000 3.996 8.258
ATOMIC_POSITIONS angstrom
C 0.000 9.688 6.881
C 0.000 3.691 4.736
B 0.000 11.973 9.448
C 0.000 5.859 7.030
C 0.000 2.261 4.290
B 0.000 1.381 0.450
B 0.000 6.179 2.188
B 0.000 8.259 6.181
B 0.000 7.178 7.852
B 0.000 7.830 2.896
B 0.000 4.442 3.270
B 0.000 6.144 3.951

Q: Which of them is the most stable? A: Q).

P) ! BeAsP2 (PBE, optimized geometry); values from VASP
! Symmetry: Cmm2 (35)
&SYSTEM
  ibrav = 0, nat = 4, ntyp = 3
/
ATOMIC_SPECIES
As 74.92 As.upf
Be 9.01 Be.upf
P 30.97 P.upf
CELL_PARAMETERS angstrom
2.837 -0.041 0.000
-1.063 2.630 0.000
0.000 0.000 8.595
ATOMIC_POSITIONS angstrom
As 0.000 0.000 4.893
Be 0.887 1.295 6.640
P 0.887 1.295 1.542
P 0.000 0.000 8.414

Q) ! BeAsP2 (PBE, optimized geometry); values from VASP
! Symmetry: I-42d (122)
&SYSTEM
  ibrav = 0, nat = 8, ntyp = 3
/
ATOMIC_SPECIES
P 30.97 P.upf
As 74.92 As.upf
Be 9.01 Be.upf
CELL_PARAMETERS angstrom
-2.461 0.695 -4.612
-4.558 -1.460 2.213
-4.498 4.655 0.087
ATOMIC_POSITIONS angstrom
P -9.284 2.896 -2.146
P -6.238 3.130 -0.722
As -5.235 2.483 -2.862
P -3.108 1.380 -2.350
Be -3.510 -0.382 -1.199
P -4.406 0.373 0.594
As 0.000 0.000 0.000
Be -6.283 1.406 0.550

Q: Which of them is the most stable? A: Q).

P) ! Mn2PBr (PBE, optimized geometry); values from VASP
! Symmetry: Pm (6)
&SYSTEM
  ibrav = 0, nat = 4, ntyp = 3
/
ATOMIC_SPECIES
Br 79.90 Br.upf
Mn 54.94 Mn.upf
P 30.97 P.upf
CELL_PARAMETERS angstrom
-2.141 -0.828 -2.429
2.586 -2.515 -1.422
-2.292 -4.388 3.516
ATOMIC_POSITIONS angstrom
Br -0.768 -6.382 0.554
Mn -0.357 -1.848 -1.355
Mn 1.872 -2.947 -0.645
P 0.140 -2.519 0.735

Q) ! Mn2PBr (PBE, optimized geometry); values from VASP
! Symmetry: Cmmm (65)
&SYSTEM
  ibrav = 0, nat = 4, ntyp = 3
/
ATOMIC_SPECIES
P 30.97 P.upf
Br 79.90 Br.upf
Mn 54.94 Mn.upf
CELL_PARAMETERS angstrom
-2.462 0.519 -2.084
2.348 -1.536 -1.674
-2.814 -6.236 1.773
ATOMIC_POSITIONS angstrom
P -0.761 -2.068 -1.436
Br -2.168 -5.185 -0.550
Mn -1.267 -2.808 0.799
Mn -0.140 -0.309 0.088

Q: Which of them is the most stable? A: P).

P) ! Mg2Si3 (PBE, optimized geometry); values from VASP
! Symmetry: P1 (1)
&SYSTEM
  ibrav = 0, nat = 20, ntyp = 2
/
ATOMIC_SPECIES
Si 28.09 Si.upf
Mg 24.30 Mg.upf
CELL_PARAMETERS angstrom
3.755 -0.003 0.014
-0.814 5.845 0.001
-0.812 -1.271 17.381
ATOMIC_POSITIONS angstrom
Si 0.924 3.918 7.752
Si -1.020 4.789 11.269
Mg 0.897 0.995 7.586
Si 2.860 1.127 3.186
Mg 2.819 2.625 9.616
Si -0.943 4.238 6.225
Si 2.819 0.585 5.539
Mg 0.944 2.513 4.964
Si 1.976 3.301 2.498
Mg 1.105 0.825 1.083
Si 2.348 0.829 16.652
Si 1.604 0.451 11.148
Mg 2.328 -0.312 13.809
Si 0.087 3.727 1.017
Si 2.806 -0.215 9.153
Mg 1.542 3.743 16.453
Si -0.238 3.525 14.444
Si 0.462 1.317 15.178
Mg 1.582 2.659 12.671
Mg 0.147 5.067 3.732

Q) ! Mg2Si3 (PBE, optimized geometry); values from VASP
! Symmetry: P1 (1)
&SYSTEM
  ibrav = 0, nat = 20, ntyp = 2
/
ATOMIC_SPECIES
Mg 24.30 Mg.upf
Si 28.09 Si.upf
CELL_PARAMETERS angstrom
5.869 -0.224 -0.122
1.927 5.355 0.691
2.290 2.616 12.717
ATOMIC_POSITIONS angstrom
Mg 1.281 1.523 2.417
Mg 7.653 3.684 10.126
Mg 5.829 4.335 3.213
Si 7.411 3.505 6.234
Si 6.735 4.951 7.997
Mg 6.704 6.600 12.970
Si 8.476 4.525 12.599
Si 4.654 4.575 11.350
Mg 5.330 1.038 4.953
Si 4.976 6.874 10.778
Si 3.156 4.770 4.808
Mg 9.658 6.937 13.074
Si 2.802 3.857 2.652
Mg 3.473 1.933 7.272
Si 4.165 1.868 2.528
Si 3.897 1.052 0.274
Si 4.298 4.632 7.881
Si 4.992 3.586 5.791
Mg 8.574 6.619 8.968
Si 4.949 2.988 9.563

Q: Which of them is the most stable? A: P).